A relaxed PaCo2RhO8 crystal, computed with GGA+U.

Summary:
The density of states at the Fermi level comes out at 3.62 states/eV/f.u. The energy is -82.33 eV per formula unit.

Lattice parameters (Å, degrees): 5.075 5.075 6.294 113.78 113.78 90.00
Last column: magnetic moment on the atom in μB.
Element x y z (fractional)
1 Co 0.500 0.500 0.000  2.70
2 Co 0.250 0.750 0.500  2.88
3 O 0.689 0.237 0.816  0.06
4 O 0.972 0.402 0.338  0.14
5 O 0.421 0.311 0.184  0.06
6 O 0.127 0.579 0.816  0.06
7 O 0.598 0.634 0.662  0.14
8 O 0.366 0.936 0.338  0.14
9 O 0.064 0.028 0.662  0.14
10 O 0.763 0.873 0.184  0.06
11 Rh 0.750 0.250 0.500  -0.66
12 Pa 0.000 0.000 0.000  0.09